# 1
# DyAl2Si2 PBE relaxed
data_DyAl2Si2
_chemical_formula_sum 'Dy1 Al2 Si2'
_symmetry_space_group_name_H-M 'P 1'
_symmetry_Int_Tables_number 1
_cell_length_a 4.201
_cell_length_b 4.201
_cell_length_c 6.575
_cell_angle_alpha 90.00
_cell_angle_beta 90.00
_cell_angle_gamma 120.00
loop_
_symmetry_equiv_pos_as_xyz
'x,y,z'
loop_
_atom_site_label
_atom_site_fract_x
_atom_site_fract_y
_atom_site_fract_z
Al1 0.333 0.667 0.645
Al2 0.667 0.333 0.355
Si1 0.667 0.333 0.741
Si2 0.333 0.667 0.259
Dy1 0.000 0.000 0.000
# spin magnetization	0.000	Bohr magnetons per cell
# final energy	-4.96	eV/atom
# formation energy without anion corrections	-371	meV/atom


# 2
# Dy2Al3Si2 PBE relaxed
data_Dy2Al3Si2
_chemical_formula_sum 'Dy2 Al3 Si2'
_symmetry_space_group_name_H-M 'P 1'
_symmetry_Int_Tables_number 1
_cell_length_a 4.026
_cell_length_b 3.764
_cell_length_c 9.452
_cell_angle_alpha 101.49
_cell_angle_beta 90.00
_cell_angle_gamma 90.00
loop_
_symmetry_equiv_pos_as_xyz
'x,y,z'
loop_
_atom_site_label
_atom_site_fract_x
_atom_site_fract_y
_atom_site_fract_z
Al1 0.500 0.429 0.858
Al2 0.000 0.000 0.000
Al3 0.500 0.571 0.142
Dy1 0.000 0.164 0.329
Dy2 0.000 0.836 0.671
Si1 0.500 0.290 0.579
Si2 0.500 0.710 0.421
# spin magnetization	0.000	Bohr magnetons per cell
# final energy	-4.89	eV/atom
# formation energy without anion corrections	-417	meV/atom